## YTcAsSe2 (PBE)

Data for an optimized crystal structure of YTcAsSe2.

Calculated values
SG: P4/mmm (123)
Uncorrected formation energy in eV per atom: 0.614
Energy relative to the lowest polymorph listed for this composition in eV/atom: 0.826

a b c (Å): 5.3662 5.3662 5.4681
angles (deg): 90.00 90.00 90.00
Element x y z (fractional)
Y 0.0000 0.0000 0.0000
As 0.0000 0.0000 0.5000
Tc 0.5000 0.5000 0.5000
Se 0.5000 0.0000 0.0000
Se 0.0000 0.5000 0.0000